Entry from Alexandria: a relaxed LiYI2O crystal (PBE).

Cell: 6.2324 6.2324 4.2155 Å, 90.00 90.00 90.00°
Space group P4/mmm (No. 123)
One atom of each set of equivalent atoms:
Li  0.0000  0.0000  0.0000 (multiplicity 1)
Y  0.5000  0.5000  0.5000 (multiplicity 1)
I  0.0000  0.5000  0.5000 (multiplicity 2)
O  0.5000  0.5000  0.0000 (multiplicity 1)

Summary:
E_form (uncorrected): -7.78 eV/f.u.
E_tot: -4.843 eV per atom
Energy above the most stable polymorph in this dataset: 0.000 eV per atom

***

Entry from Alexandria: a relaxed LiYI2O crystal (PBE).

Cell: 5.4182 5.4182 3.8126 Å, 90.00 90.00 90.00°
Space group P4/mmm (No. 123)
One atom of each set of equivalent atoms:
Li  0.0000  0.0000  0.0000 (multiplicity 1)
Y  0.5000  0.5000  0.5000 (multiplicity 1)
I  0.0000  0.5000  0.0000 (multiplicity 2)
O  0.0000  0.0000  0.5000 (multiplicity 1)

Summary:
E_form (uncorrected): -3.88 eV/f.u.
E_tot: -4.064 eV per atom
Energy above the most stable polymorph in this dataset: 0.779 eV per atom

***

Entry from Alexandria: a relaxed LiY2IO6 crystal (PBE).

Cell: 5.6554 5.9276 6.0366 Å, 92.19 117.26 117.83°
Space group P1 (No. 1)
One atom of each set of equivalent atoms:
Li  0.0000  0.0000  0.0000 (multiplicity 1)
Y  0.4499  0.3499  0.6586 (multiplicity 1)
Y  0.5243  0.8965  0.2251 (multiplicity 1)
I  0.0843  0.6796  0.6028 (multiplicity 1)
O  0.2744  0.0005  0.3522 (multiplicity 1)
O  0.2758  0.0406  0.8547 (multiplicity 1)
O  0.5362  0.7481  0.8643 (multiplicity 1)
O  0.6459  0.6217  0.4296 (multiplicity 1)
O  0.9712  0.2958  0.4239 (multiplicity 1)
O  0.9934  0.5342  0.8539 (multiplicity 1)

Summary:
E_form (uncorrected): -21.48 eV/f.u.
E_tot: -6.762 eV per atom

***

Entry from Alexandria: a relaxed Li2YIO6 crystal (PBE).

Cell: 5.2133 5.2133 15.2904 Å, 90.00 90.00 120.00°
Space group R-3 (No. 148, hexagonal axes)
One atom of each set of equivalent atoms:
Li  0.0000  0.0000  0.1990 (multiplicity 6)
Y  0.0000  0.0000  0.0000 (multiplicity 3)
I  0.0000  0.0000  0.5000 (multiplicity 3)
O  0.0216  0.6430  0.2369 (multiplicity 18)

Summary:
E_form (uncorrected): -17.40 eV/f.u.
E_tot: -5.899 eV per atom

***

Entry from Alexandria: a relaxed Li2ZnIO4 crystal (PBE).

Cell: 6.4735 6.4780 5.3567 Å, 90.00 127.11 90.00°
Space group C2 (No. 5)
One atom of each set of equivalent atoms:
Li  0.0000  0.0000  0.0000 (multiplicity 2)
Li  0.0000  0.2495  0.5000 (multiplicity 2)
Zn  0.0000  0.7503  0.5000 (multiplicity 2)
I  0.0000  0.4996  0.0000 (multiplicity 2)
O  0.2430  0.7499  0.9846 (multiplicity 4)
O  0.2459  0.4991  0.4913 (multiplicity 4)

Summary:
E_form (uncorrected): -8.48 eV/f.u.
E_tot: -4.371 eV per atom

***

Entry from Alexandria: a relaxed LiZnIO4 crystal (PBE).

Cell: 6.2471 6.7408 8.1932 Å, 90.00 90.00 90.00°
Space group Imma (No. 74)
One atom of each set of equivalent atoms:
Li  0.0000  0.0000  0.0000 (multiplicity 4)
Zn  0.2500  0.2500  0.2500 (multiplicity 4)
I  0.0000  0.2500  0.6766 (multiplicity 4)
O  0.0000  0.0482  0.2458 (multiplicity 8)
O  0.2354  0.2500  0.5344 (multiplicity 8)

Summary:
E_form (uncorrected): -6.38 eV/f.u.
E_tot: -4.421 eV per atom
Energy above the most stable polymorph in this dataset: 0.105 eV per atom

***

Entry from Alexandria: a relaxed LiZnIO2 crystal (PBE).

Cell: 3.8854 3.8854 6.5130 Å, 90.00 90.00 90.00°
Space group P4/mmm (No. 123)
One atom of each set of equivalent atoms:
Li  0.0000  0.0000  0.0000 (multiplicity 1)
Zn  0.5000  0.5000  0.5000 (multiplicity 1)
I  0.5000  0.5000  0.0000 (multiplicity 1)
O  0.0000  0.5000  0.5000 (multiplicity 2)

Summary:
E_form (uncorrected): -2.16 eV/f.u.
E_tot: -3.363 eV per atom
Energy above the most stable polymorph in this dataset: 0.000 eV per atom

***

Entry from Alexandria: a relaxed LiZnIO4 crystal (PBE).

Cell: 5.9089 10.3142 7.5177 Å, 90.00 90.00 90.00°
Space group Ama2 (No. 40)
One atom of each set of equivalent atoms:
Li  0.2500  0.0914  0.0000 (multiplicity 4)
Zn  0.0000  0.0000  0.6484 (multiplicity 4)
I  0.2500  0.2605  0.4191 (multiplicity 4)
O  0.0077  0.3014  0.5599 (multiplicity 8)
O  0.2500  0.0773  0.5079 (multiplicity 4)
O  0.2500  0.4504  0.3206 (multiplicity 4)

Summary:
E_form (uncorrected): -7.11 eV/f.u.
E_tot: -4.526 eV per atom
Energy above the most stable polymorph in this dataset: 0.000 eV per atom

***

Which of these has the lowest E_form (uncorrected)? LiY2IO6